(1)
First-principles (PBE) data for a relaxed structure of Ce2TlTe3, as listed in the Alexandria database.

Summary:
DFT total energy: -5.061 eV per atom
DOS at the Fermi energy: 14.5 states/eV/f.u.
E_form (uncorrected): -25.8 kcal/mol of atoms
Crystal system: hexagonal
SG: No. 194

Cell and atoms, written as POSCAR:
```
Ce2TlTe3
1.0
4.495 0.000 0.000
-2.247 3.892 0.000
0.000 0.000 24.212
Ce Tl Te
4 2 6
direct
0.333 0.667 0.077
0.333 0.667 0.423
0.667 0.333 0.577
0.667 0.333 0.923
0.000 0.000 0.250
0.000 0.000 0.750
0.000 0.000 0.000
0.000 0.000 0.500
0.333 0.667 0.653
0.333 0.667 0.847
0.667 0.333 0.153
0.667 0.333 0.347
```

=====

(2)
First-principles (PBE) data for a relaxed structure of Tm2MnCd, as listed in the Alexandria database.

Summary:
DFT total energy: -4.412 eV per atom
Energy above the lowest structure with this stoichiometry: 445 meV per atom
DOS at the Fermi energy: 3.9 states/eV/f.u.
Crystal system: trigonal
SG: No. 166

Cell and atoms, written as POSCAR:
```
Tm2MnCd
1.0
1.646 0.951 10.852
-1.646 0.951 10.852
0.000 -1.901 10.852
Tm Mn Cd
2 1 1
direct
0.098 0.098 0.098
0.902 0.902 0.902
0.500 0.500 0.500
0.000 0.000 0.000
```

=====

(3)
First-principles (PBE) data for a relaxed structure of Sc3PdPb, as listed in the Alexandria database.

Summary:
DFT total energy: -5.826 eV per atom
Energy above the lowest structure with this stoichiometry: 0 meV per atom
DOS at the Fermi energy: 9.6 states/eV/f.u.
Crystal system: cubic
SG: No. 221

Cell and atoms, written as POSCAR:
```
Sc3PdPb
1.0
5.063 0.000 0.000
0.000 5.063 0.000
0.000 0.000 5.063
Sc Pd Pb
3 1 1
direct
0.000 0.000 0.500
0.000 0.500 0.000
0.500 0.000 0.000
0.000 0.000 0.000
0.500 0.500 0.500
```

=====

(4)
First-principles (PBE) data for a relaxed structure of ZnGe2F, as listed in the Alexandria database.

Summary:
DFT total energy: -3.409 eV per atom
Energy above the lowest structure with this stoichiometry: 0 meV per atom
DOS at the Fermi energy: 2.3 states/eV/f.u.
E_form (uncorrected): -7.2 kcal/mol of atoms
Crystal system: cubic
SG: No. 225

Cell and atoms, written as POSCAR:
```
ZnGe2F
1.0
0.000 3.142 3.142
3.142 0.000 3.142
3.142 3.142 0.000
Zn Ge F
1 2 1
direct
0.000 0.000 0.000
0.250 0.250 0.250
0.750 0.750 0.750
0.500 0.500 0.500
```

=====

(5)
First-principles (PBE) data for a relaxed structure of TlRuRh, as listed in the Alexandria database.

Summary:
DFT total energy: -5.985 eV per atom
Energy above the lowest structure with this stoichiometry: 0 meV per atom
DOS at the Fermi energy: 2.1 states/eV/f.u.
Crystal system: tetragonal
SG: No. 107

Cell and atoms, written as POSCAR:
```
TlRuRh
1.0
-1.471 1.471 5.887
1.471 -1.471 5.887
1.471 1.471 -5.887
Tl Ru Rh
1 1 1
direct
0.000 0.000 0.000
0.682 0.682 0.000
0.316 0.316 0.000
```

=====

(6)
First-principles (PBE) data for a relaxed structure of Ca4Hg7Pd, as listed in the Alexandria database.

Summary:
DFT total energy: -1.661 eV per atom
DOS at the Fermi energy: 6.5 states/eV/f.u.
Crystal system: monoclinic
SG: No. 12

Cell and atoms, written as POSCAR:
```
Ca4Hg7Pd
1.0
7.626 -2.625 0.000
7.626 2.625 0.000
-5.134 0.000 8.104
Ca Hg Pd
4 7 1
direct
0.065 0.065 0.250
0.234 0.234 0.755
0.766 0.766 0.245
0.935 0.935 0.750
0.000 0.000 0.500
0.171 0.171 0.045
0.314 0.314 0.500
0.403 0.403 0.157
0.597 0.597 0.843
0.686 0.686 0.500
0.829 0.829 0.955
0.500 0.500 0.500
```

=====

(7)
First-principles (PBE) data for a relaxed structure of CoCu2Sb, as listed in the Alexandria database.

Summary:
DFT total energy: -4.749 eV per atom
DOS at the Fermi energy: 2.2 states/eV/f.u.
E_form (uncorrected): 2.5 kcal/mol of atoms
Crystal system: tetragonal
SG: No. 119

Cell and atoms, written as POSCAR:
```
CoCu2Sb
1.0
-1.916 1.916 3.762
1.916 -1.916 3.762
1.916 1.916 -3.762
Co Cu Sb
1 2 1
direct
0.000 0.000 0.000
0.250 0.750 0.500
0.500 0.500 0.000
0.750 0.250 0.500
```

=====

(8)
First-principles (PBE) data for a relaxed structure of CsBa2In, as listed in the Alexandria database.

Summary:
DFT total energy: -1.825 eV per atom
DOS at the Fermi energy: 3.7 states/eV/f.u.
Crystal system: tetragonal
SG: No. 123

Cell and atoms, written as POSCAR:
```
CsBa2In
1.0
6.317 0.000 0.000
0.000 6.317 0.000
0.000 0.000 4.876
Cs Ba In
1 2 1
direct
0.000 0.000 0.000
0.000 0.500 0.500
0.500 0.000 0.500
0.500 0.500 0.000
```

=====

(9)
First-principles (PBE) data for a relaxed structure of Li3TmPd6, as listed in the Alexandria database.

Summary:
DFT total energy: -4.690 eV per atom
Energy above the lowest structure with this stoichiometry: 0 meV per atom
DOS at the Fermi energy: 2.5 states/eV/f.u.
Crystal system: monoclinic
SG: No. 11

Cell and atoms, written as POSCAR:
```
Li3TmPd6
1.0
7.813 0.000 0.000
0.000 4.293 0.000
-1.948 0.000 9.079
Li Tm Pd
6 2 12
direct
0.040 0.250 0.397
0.146 0.750 0.177
0.250 0.250 0.976
0.750 0.750 0.024
0.854 0.250 0.823
0.960 0.750 0.603
0.436 0.250 0.620
0.564 0.750 0.380
0.041 0.750 0.897
0.115 0.250 0.696
0.229 0.750 0.477
0.321 0.250 0.280
0.343 0.750 0.786
0.432 0.750 0.083
0.568 0.250 0.917
0.657 0.250 0.214
0.679 0.750 0.720
0.771 0.250 0.523
0.885 0.750 0.304
0.959 0.250 0.103
```

=====

(10)
First-principles (PBE) data for a relaxed structure of La2Ho2TmCd5, as listed in the Alexandria database.

Summary:
DFT total energy: -3.009 eV per atom
DOS at the Fermi energy: 7.2 states/eV/f.u.
Crystal system: tetragonal
SG: No. 127

Cell and atoms, written as POSCAR:
```
La2Ho2TmCd5
1.0
10.716 0.000 0.000
0.000 10.716 0.000
0.000 0.000 4.754
La Ho Tm Cd
4 4 2 10
direct
0.175 0.325 0.000
0.325 0.825 0.000
0.675 0.175 0.000
0.825 0.675 0.000
0.124 0.624 0.000
0.376 0.124 0.000
0.624 0.876 0.000
0.876 0.376 0.000
0.000 0.000 0.000
0.500 0.500 0.000
0.000 0.500 0.500
0.066 0.806 0.500
0.194 0.066 0.500
0.306 0.566 0.500
0.434 0.306 0.500
0.500 0.000 0.500
0.566 0.694 0.500
0.694 0.434 0.500
0.806 0.934 0.500
0.934 0.194 0.500
```

=====

(11)
First-principles (PBE) data for a relaxed structure of Cr2AsSe, as listed in the Alexandria database.

Summary:
DFT total energy: -7.089 eV per atom
Energy above the lowest structure with this stoichiometry: 0 meV per atom
DOS at the Fermi energy: 2.1 states/eV/f.u.
E_form (uncorrected): -5.6 kcal/mol of atoms
Crystal system: hexagonal
SG: No. 187

Cell and atoms, written as POSCAR:
```
Cr2AsSe
1.0
3.683 0.000 0.000
-1.842 3.190 0.000
0.000 0.000 5.982
Cr As Se
2 1 1
direct
0.000 0.000 0.240
0.000 0.000 0.760
0.667 0.333 0.000
0.333 0.667 0.500
```

=====

(12)
First-principles (PBE) data for a relaxed structure of CuGeP, as listed in the Alexandria database.

Summary:
DFT total energy: -4.593 eV per atom
Energy above the lowest structure with this stoichiometry: 7 meV per atom
DOS at the Fermi energy: 0.8 states/eV/f.u.
Crystal system: monoclinic
SG: No. 6

Cell and atoms, written as POSCAR:
```
CuGeP
1.0
3.695 0.000 0.000
0.000 3.808 0.000
-1.471 0.000 4.229
Cu Ge P
1 1 1
direct
0.000 0.000 0.000
0.196 0.500 0.357
0.836 0.500 0.706
```

=====

(13)
First-principles (PBE) data for a relaxed structure of SmDyGaPt, as listed in the Alexandria database.

Summary:
DFT total energy: -5.500 eV per atom
Energy above the lowest structure with this stoichiometry: 0 meV per atom
DOS at the Fermi energy: 3.1 states/eV/f.u.
Crystal system: orthorhombic
SG: No. 38

Cell and atoms, written as POSCAR:
```
SmDyGaPt
1.0
4.476 0.000 0.000
0.000 1.917 5.518
0.000 -1.917 5.518
Sm Dy Ga Pt
1 1 1 1
direct
0.000 0.000 0.000
0.500 0.719 0.719
0.000 0.279 0.279
0.500 0.430 0.430
```

=====

(14)
First-principles (PBE) data for a relaxed structure of AlNiAs3, as listed in the Alexandria database.

Summary:
DFT total energy: -4.234 eV per atom
Energy above the lowest structure with this stoichiometry: 0 meV per atom
DOS at the Fermi energy: 3.4 states/eV/f.u.
Crystal system: cubic
SG: No. 221

Cell and atoms, written as POSCAR:
```
AlNiAs3
1.0
4.636 0.000 0.000
0.000 4.636 0.000
0.000 0.000 4.636
Al Ni As
1 1 3
direct
0.000 0.000 0.000
0.500 0.500 0.500
0.000 0.500 0.500
0.500 0.000 0.500
0.500 0.500 0.000
```

=====

(15)
First-principles (PBE) data for a relaxed structure of LiCrRu2, as listed in the Alexandria database.

Summary:
DFT total energy: -7.295 eV per atom
Energy above the lowest structure with this stoichiometry: 150 meV per atom
DOS at the Fermi energy: 4.0 states/eV/f.u.
Crystal system: monoclinic
SG: No. 6

Cell and atoms, written as POSCAR:
```
LiCrRu2
1.0
2.638 0.000 0.000
0.000 4.064 0.000
-1.303 0.000 4.774
Li Cr Ru
1 1 2
direct
0.000 0.000 0.000
0.250 0.500 0.766
0.410 0.000 0.511
0.728 0.500 0.238
```

=====

(16)
First-principles (PBE) data for a relaxed structure of PmErZnSi, as listed in the Alexandria database.

Summary:
DFT total energy: -4.547 eV per atom
Energy above the lowest structure with this stoichiometry: 0 meV per atom
DOS at the Fermi energy: 4.0 states/eV/f.u.
E_form (uncorrected): -12.6 kcal/mol of atoms
Crystal system: orthorhombic
SG: No. 38

Cell and atoms, written as POSCAR:
```
PmErZnSi
1.0
4.068 0.000 0.000
0.000 2.100 5.507
0.000 -2.100 5.507
Pm Er Zn Si
1 1 1 1
direct
0.000 0.000 0.000
0.500 0.285 0.285
0.500 0.579 0.579
0.000 0.720 0.720
```

=====

(17)
First-principles (PBE) data for a relaxed structure of CoCu2Pd9, as listed in the Alexandria database.

Summary:
DFT total energy: -5.189 eV per atom
DOS at the Fermi energy: 17.2 states/eV/f.u.
Crystal system: tetragonal
SG: No. 123

Cell and atoms, written as POSCAR:
```
CoCu2Pd9
1.0
3.882 0.000 0.000
0.000 3.882 0.000
0.000 0.000 11.652
Co Cu Pd
1 2 9
direct
0.000 0.000 0.000
0.000 0.000 0.333
0.000 0.000 0.667
0.000 0.500 0.164
0.000 0.500 0.500
0.000 0.500 0.836
0.500 0.000 0.164
0.500 0.000 0.500
0.500 0.000 0.836
0.500 0.500 0.000
0.500 0.500 0.332
0.500 0.500 0.668
```

=====

(18)
First-principles (PBE) data for a relaxed structure of Y2SnF2, as listed in the Alexandria database.

Summary:
DFT total energy: -6.567 eV per atom
DOS at the Fermi energy: 1.4 states/eV/f.u.
E_form (uncorrected): -56.1 kcal/mol of atoms
Crystal system: tetragonal
SG: No. 139

Cell and atoms, written as POSCAR:
```
Y2SnF2
1.0
-1.915 1.915 6.573
1.915 -1.915 6.573
1.915 1.915 -6.573
Y Sn F
2 1 2
direct
0.135 0.135 0.000
0.865 0.865 0.000
0.500 0.500 0.000
0.250 0.750 0.500
0.750 0.250 0.500
```

=====

(19)
First-principles (PBE) data for a relaxed structure of CrGa2Ni7As2, as listed in the Alexandria database.

Summary:
DFT total energy: -5.529 eV per atom
DOS at the Fermi energy: 5.8 states/eV/f.u.
Crystal system: tetragonal
SG: No. 139

Cell and atoms, written as POSCAR:
```
CrGa2Ni7As2
1.0
-1.724 1.724 13.616
1.724 -1.724 13.616
1.724 1.724 -13.616
Cr Ga Ni As
1 2 7 2
direct
0.000 0.000 0.000
0.370 0.370 0.000
0.630 0.630 0.000
0.065 0.565 0.500
0.278 0.278 0.000
0.435 0.935 0.500
0.500 0.500 0.000
0.565 0.065 0.500
0.722 0.722 0.000
0.935 0.435 0.500
0.192 0.192 0.000
0.808 0.808 0.000
```

=====

(20)
First-principles (PBE) data for a relaxed structure of Sc8TlRu2, as listed in the Alexandria database.

Summary:
DFT total energy: -6.822 eV per atom
DOS at the Fermi energy: 9.6 states/eV/f.u.
Crystal system: orthorhombic
SG: No. 44

Cell and atoms, written as POSCAR:
```
Sc8TlRu2
1.0
-2.456 7.381 3.257
2.456 -7.381 3.257
2.456 7.381 -3.257
Sc Tl Ru
8 1 2
direct
0.000 0.000 0.000
0.259 0.587 0.671
0.334 0.448 0.886
0.419 0.128 0.291
0.563 0.448 0.114
0.733 0.233 0.500
0.838 0.128 0.709
0.916 0.587 0.329
0.297 0.797 0.500
0.654 0.824 0.830
0.994 0.824 0.170
```